Computed, not measured: a relaxed structure of Ac6SmEr at the PBE level of DFT.

Cell lengths 9.406, 9.406, 6.418 Å; angles 70.01, 70.01, 39.36 degrees
Fractional positions:
Ac  0.751  0.751  0.288
Ac  0.617  0.617  0.911
Ac  0.117  0.117  0.354
Ac  0.383  0.383  0.089
Ac  0.249  0.249  0.712
Ac  0.883  0.883  0.646
Sm  0.500  0.500  0.500
Er  0.000  0.000  0.000

Summary:
Density of states at the Fermi level   1.75 states/eV/atom
Formation enthalpy at 0 K   11 kJ per mole of atoms
Space-group type   C2/m, No. 12

---

Computed, not measured: a relaxed structure of AcSm4Er7 at the PBE level of DFT.

Cell lengths 6.038, 11.477, 6.851 Å; angles 83.09, 63.85, 74.75 degrees
Fractional positions:
Ac  0.000  0.000  0.000
Sm  0.628  0.224  0.520
Sm  0.372  0.776  0.480
Sm  0.746  0.682  0.825
Sm  0.254  0.318  0.175
Er  0.783  0.921  0.512
Er  0.217  0.079  0.488
Er  0.053  0.657  0.236
Er  0.947  0.343  0.764
Er  0.364  0.507  0.765
Er  0.500  0.000  0.000
Er  0.636  0.493  0.235

Summary:
Density of states at the Fermi level   1.71 states/eV/atom
Formation enthalpy at 0 K   29 kJ per mole of atoms
Space-group type   C2/m, No. 12

---

Computed, not measured: a relaxed structure of AcSmEr2 at the PBE level of DFT.

Cell lengths 3.684, 3.684, 12.002 Å; angles 81.17, 81.17, 60.00 degrees
Fractional positions:
Ac  0.500  0.500  0.499
Sm  0.666  0.666  0.001
Er  0.080  0.080  0.760
Er  0.253  0.253  0.240

Summary:
Density of states at the Fermi level   1.40 states/eV/atom
Formation enthalpy at 0 K   7 kJ per mole of atoms
Excess energy over the best structure of this formula in the dataset   14 meV/atom
Space-group type   R3m, No. 160

---

Computed, not measured: a relaxed structure of Ac3Sm3Er at the PBE level of DFT.

Cell lengths 6.972, 6.972, 11.256 Å; angles 89.02, 89.02, 95.49 degrees
Fractional positions:
Ac  0.670  0.670  0.081
Ac  0.878  0.511  0.749
Ac  0.511  0.878  0.749
Ac  0.122  0.489  0.251
Ac  0.489  0.122  0.251
Ac  0.330  0.330  0.919
Sm  0.680  0.680  0.444
Sm  0.186  0.814  0.500
Sm  0.814  0.186  0.500
Sm  0.175  0.825  0.000
Sm  0.825  0.175  0.000
Sm  0.320  0.320  0.556
Er  0.027  0.027  0.744
Er  0.973  0.973  0.256

Summary:
Density of states at the Fermi level   1.62 states/eV/atom
Formation enthalpy at 0 K   11 kJ per mole of atoms
Space-group type   C2/m, No. 12

---

Computed, not measured: a relaxed structure of AcSmEr2 at the PBE level of DFT.

Cell lengths 4.192, 4.192, 7.934 Å; angles 90.00, 90.00, 90.00 degrees
Fractional positions:
Ac  0.500  0.500  0.500
Sm  0.500  0.500  0.000
Er  0.000  0.000  0.768
Er  0.000  0.000  0.232

Summary:
Density of states at the Fermi level   1.67 states/eV/atom
Formation enthalpy at 0 K   9 kJ per mole of atoms
Excess energy over the best structure of this formula in the dataset   40 meV/atom
Space-group type   P4/mmm, No. 123

---

Computed, not measured: a relaxed structure of AcSm8Er2 at the PBE level of DFT.

Cell lengths 5.142, 8.141, 9.631 Å; angles 104.74, 105.48, 90.00 degrees
Fractional positions:
Ac  0.500  0.000  0.000
Sm  0.593  0.461  0.187
Sm  0.317  0.091  0.633
Sm  0.140  0.190  0.280
Sm  0.047  0.723  0.094
Sm  0.860  0.810  0.720
Sm  0.683  0.909  0.367
Sm  0.407  0.539  0.813
Sm  0.953  0.277  0.906
Er  0.229  0.636  0.457
Er  0.771  0.364  0.543

Summary:
Density of states at the Fermi level   1.52 states/eV/atom
Formation enthalpy at 0 K   3 kJ per mole of atoms
Excess energy over the best structure of this formula in the dataset   0 meV/atom
Space-group type   C2/m, No. 12